Record 1
Material: Cr2Cd2Rh
Method: DFT, GGA-PBE
State: relaxed

Calculated values
- E above lowest polymorph: 20.0 kJ per mole of atoms
- Symmetry: P4/mbm, No. 127
- DFT formation energy: 0.684 eV/atom
- Size of the total moment: 0.36 μB per formula unit
- Uncorrected energy: -0.36759 Ry/atom

Unit cell a=7.649 b=7.649 c=2.917 alpha=90.00 beta=90.00 gamma=90.00
Atoms (fractional coordinates):
Cr (0.087, 0.413, 0.000)
Cr (0.413, 0.913, 0.000)
Cr (0.587, 0.087, 0.000)
Cr (0.913, 0.587, 0.000)
Cd (0.202, 0.702, 0.500)
Cd (0.298, 0.202, 0.500)
Cd (0.702, 0.798, 0.500)
Cd (0.798, 0.298, 0.500)
Rh (0.000, 0.000, 0.500)
Rh (0.500, 0.500, 0.500)

***

Record 2
Material: TaGaGe3
Method: DFT, GGA-PBE
State: relaxed

Calculated values
- E above lowest polymorph: 0.0 kJ per mole of atoms
- Symmetry: Pm-3m, No. 221
- DFT formation energy: 0.401 eV/atom
- Size of the total moment: 0.00 μB per formula unit
- Uncorrected energy: -0.39286 Ry/atom

Unit cell a=5.040 b=5.040 c=5.040 alpha=90.00 beta=90.00 gamma=90.00
Atoms (fractional coordinates):
Ta (0.000, 0.000, 0.000)
Ga (0.500, 0.500, 0.500)
Ge (0.000, 0.000, 0.500)
Ge (0.000, 0.500, 0.000)
Ge (0.500, 0.000, 0.000)

***

Record 3
Material: NpPaAl2
Method: DFT, GGA-PBE
State: relaxed

Calculated values
- E above lowest polymorph: 0.7 kJ per mole of atoms
- Symmetry: P4/mmm, No. 123
- DFT formation energy: -0.053 eV/atom
- Size of the total moment: 3.81 μB per formula unit
- Uncorrected energy: -0.55373 Ry/atom

Unit cell a=2.953 b=2.953 c=9.388 alpha=90.00 beta=90.00 gamma=90.00
Atoms (fractional coordinates):
Np (0.000, 0.000, 0.000)
Pa (0.000, 0.000, 0.500)
Al (0.500, 0.500, 0.249)
Al (0.500, 0.500, 0.751)